RbBaZnRh2 (GGA-PBE, relaxed); crystal system = tetragonal; energy of formation = 0.51 eV per atom; total moment = 0.0 μB per cell
1.0
4.935 0.000 0.000
0.000 5.642 0.000
0.000 0.000 4.935
Zn Rh Ba Rb
1 2 1 1
Direct
0.000 0.000 0.000
0.000 0.000 0.500
0.500 0.000 0.000
0.000 0.500 0.000
0.500 0.500 0.500